1.
An optimized crystal structure of CaNi13, computed with GGA-PBE.

As for the raw total energy: -77.329 eV per formula unit. The density of states at the Fermi level comes out at 24.35 states/eV/f.u. The symmetry is No. 226. The calculation puts the calculated volume at 354.0 Å³/cell. The crystal system is cubic.

a b c (Å): 7.940 7.940 7.940
angles (deg): 60.00 60.00 60.00
Site moments in Bohr magnetons follow the coordinates.
Element x y z (fractional)
Ni (0.937, 0.704, 0.063)  0.63
Ni (0.063, 0.704, 0.296)  0.63
Ni (0.000, 0.000, 0.000)  0.60
Ni (0.563, 0.796, 0.204)  0.63
Ni (0.704, 0.937, 0.296)  0.63
Ni (0.704, 0.063, 0.937)  0.63
Ni (0.704, 0.296, 0.063)  0.63
Ni (0.296, 0.063, 0.704)  0.63
Ni (0.563, 0.204, 0.437)  0.63
Ni (0.437, 0.563, 0.204)  0.63
Ni (0.204, 0.437, 0.563)  0.63
Ni (0.937, 0.296, 0.704)  0.63
Ni (0.796, 0.563, 0.437)  0.63
Ni (0.204, 0.796, 0.437)  0.63
Ni (0.796, 0.437, 0.204)  0.63
Ni (0.204, 0.563, 0.796)  0.63
Ni (0.437, 0.204, 0.796)  0.63
Ni (0.563, 0.437, 0.796)  0.63
Ni (0.296, 0.937, 0.063)  0.63
Ni (0.437, 0.796, 0.563)  0.63
Ni (0.500, 0.500, 0.500)  0.60
Ni (0.937, 0.063, 0.296)  0.63
Ni (0.796, 0.204, 0.563)  0.63
Ni (0.063, 0.937, 0.704)  0.63
Ni (0.063, 0.296, 0.937)  0.63
Ni (0.296, 0.704, 0.937)  0.63
Ca (0.250, 0.250, 0.250)  -0.02
Ca (0.750, 0.750, 0.750)  -0.02

***

2.
An optimized crystal structure of Nd6Y12Er, computed with GGA-PBE.

As for the raw total energy: -106.812 eV per formula unit. The density of states at the Fermi level comes out at 33.50 states/eV/f.u. The symmetry is No. 166. The value obtained for the polymorph energy (0 for the lowest one) is 89 meV/atom. The calculation puts the calculated volume at 654.2 Å³/cell. The crystal system is trigonal.

a b c (Å): 8.806 8.806 8.806
angles (deg): 99.05 99.05 99.05
Element x y z (fractional)
Nd (0.341, 0.904, 0.904)
Nd (0.096, 0.659, 0.096)
Nd (0.904, 0.904, 0.341)
Nd (0.904, 0.341, 0.904)
Nd (0.659, 0.096, 0.096)
Nd (0.096, 0.096, 0.659)
Y (0.758, 0.500, 0.242)
Y (0.647, 0.647, 0.919)
Y (0.647, 0.919, 0.647)
Y (0.242, 0.500, 0.758)
Y (0.081, 0.353, 0.353)
Y (0.919, 0.647, 0.647)
Y (0.500, 0.758, 0.242)
Y (0.758, 0.242, 0.500)
Y (0.242, 0.758, 0.500)
Y (0.500, 0.242, 0.758)
Y (0.353, 0.353, 0.081)
Y (0.353, 0.081, 0.353)
Er (0.000, 0.000, 0.000)

***

3.
An optimized crystal structure of CrCuSi2, computed with GGA-PBE.

As for the raw total energy: -24.805 eV per formula unit. The density of states at the Fermi level comes out at 1.50 states/eV/f.u. The symmetry is No. 119. The calculation puts the calculated volume at 49.0 Å³/cell. The crystal system is tetragonal.

a b c (Å): 4.707 4.707 4.707
angles (deg): 136.36 136.35 63.43
Site moments in Bohr magnetons follow the coordinates.
Element x y z (fractional)
Si (0.750, 0.250, 0.500)  -0.05
Si (0.000, 0.000, 0.000)  -0.03
Cr (0.500, 0.500, 0.000)  1.48
Cu (0.250, 0.750, 0.500)  -0.01

***

4.
An optimized crystal structure of MgNb3Cl, computed with GGA-PBE.

As for the raw total energy: -30.899 eV per formula unit. The density of states at the Fermi level comes out at 7.63 states/eV/f.u. The symmetry is No. 221. The value obtained for the polymorph energy (0 for the lowest one) is 0 meV/atom. The calculation puts the calculated volume at 98.0 Å³/cell. The crystal system is cubic.

a b c (Å): 4.611 4.611 4.611
angles (deg): 90.00 90.00 90.00
Element x y z (fractional)
Cl (0.000, 0.000, 0.000)
Nb (0.500, 0.000, 0.000)
Nb (0.000, 0.000, 0.500)
Nb (0.000, 0.500, 0.000)
Mg (0.500, 0.500, 0.500)

***

5.
An optimized crystal structure of Ba2ZrSb, computed with GGA-PBE.

As for the raw total energy: -16.499 eV per formula unit. The density of states at the Fermi level comes out at 4.32 states/eV/f.u. The symmetry is No. 123. The calculation puts the calculated volume at 138.0 Å³/cell. The crystal system is tetragonal.

a b c (Å): 5.125 5.125 5.254
angles (deg): 90.00 90.00 90.00
Site moments in Bohr magnetons follow the coordinates.
Element x y z (fractional)
Ba (0.000, 0.000, 0.000)  0.12
Ba (0.500, 0.500, 0.000)  0.12
Zr (0.000, 0.500, 0.500)  1.11
Sb (0.500, 0.000, 0.500)  -0.03

***

6.
An optimized crystal structure of CePmMg2Pt2, computed with GGA-PBE.

As for the raw total energy: -30.305 eV per formula unit. The density of states at the Fermi level comes out at 8.64 states/eV/f.u. The symmetry is No. 164. The calculation puts the calculated volume at 131.6 Å³/cell. The crystal system is trigonal.

a b c (Å): 4.719 4.719 6.826
angles (deg): 90.00 90.00 120.00
Site moments in Bohr magnetons follow the coordinates.
Element x y z (fractional)
Pm (0.000, 0.000, 0.500)  0.01
Mg (0.333, 0.667, 0.749)  0.00
Mg (0.667, 0.333, 0.251)  0.00
Ce (0.000, 0.000, 0.000)  0.42
Pt (0.333, 0.667, 0.242)  -0.01
Pt (0.667, 0.333, 0.758)  -0.01